The following is a DFT calculation (PBE) of a relaxed Li3PrEr2Se6 crystal.

```
data_Li3PrEr2Se6
_chemical_formula_sum 'Li6 Pr2 Er4 Se12'
_cell_length_a 7.1128
_cell_length_b 12.3242
_cell_length_c 6.9255
_cell_angle_alpha 90.00
_cell_angle_beta 110.00
_cell_angle_gamma 90.00
_space_group_name_H-M_alt 'C 1 2/m 1'
_space_group_IT_number 12
_space_group_name_Hall '-C 2y'
loop_
_atom_site_label
_atom_site_type_symbol
_atom_site_fract_x
_atom_site_fract_y
_atom_site_fract_z
Li1 Li 0.0000 0.0000 0.0000
Li2 Li 0.0000 0.3317 0.0000
Pr1 Pr 0.0000 0.5000 0.5000
Er1 Er 0.0000 0.1666 0.5000
Se1 Se 0.2397 0.0000 0.7558
Se2 Se 0.2429 0.1727 0.2465
```

Formation energy from raw total energies in eV/atom: -1.677



The following is a DFT calculation (PBE) of a relaxed TbSmEr2S4 crystal.

```
data_TbSmEr2S4
_chemical_formula_sum 'Tb1 Sm1 Er2 S4'
_cell_length_a 6.7740
_cell_length_b 3.8729
_cell_length_c 6.8476
_cell_angle_alpha 90.00
_cell_angle_beta 108.92
_cell_angle_gamma 90.00
_space_group_name_H-M_alt 'P 1 2/m 1'
_space_group_IT_number 10
_space_group_name_Hall '-P 2y'
loop_
_atom_site_label
_atom_site_type_symbol
_atom_site_fract_x
_atom_site_fract_y
_atom_site_fract_z
Tb1 Tb 0.0000 0.0000 0.0000
Sm1 Sm 0.5000 0.5000 0.0000
Er1 Er 0.0000 0.5000 0.5000
Er2 Er 0.5000 0.0000 0.5000
S1 S 0.2428 0.0000 0.7385
S2 S 0.2499 0.5000 0.2590
```

Formation energy from raw total energies in eV/atom: -1.985



The following is a DFT calculation (PBE) of a relaxed NaCePmPb crystal.

```
data_NaCePmPb
_chemical_formula_sum 'Na4 Ce4 Pm4 Pb4'
_cell_length_a 7.8453
_cell_length_b 7.8453
_cell_length_c 7.8453
_cell_angle_alpha 90.00
_cell_angle_beta 90.00
_cell_angle_gamma 90.00
_space_group_name_H-M_alt 'F -4 3 m'
_space_group_IT_number 216
_space_group_name_Hall 'F -4 2 3'
loop_
_atom_site_label
_atom_site_type_symbol
_atom_site_fract_x
_atom_site_fract_y
_atom_site_fract_z
Na1 Na 0.0000 0.0000 0.0000
Ce1 Ce 0.2500 0.2500 0.2500
Pm1 Pm 0.2500 0.2500 0.7500
Pb1 Pb 0.0000 0.0000 0.5000
```

Energy in eV per atom: -4.031